Material: Be2PtBr
Method: DFT, PBE-GGA
State: optimized geometry

**Total DFT energy (no corrections)**: -15.34 eV/cell
**Fermi-level density of states**: 0.23 states/eV/atom
**Excess energy over the best structure of this formula in the dataset**: 283 meV per atom

a b c (Å): 2.683 3.299 7.840
angles (deg): 90.00 90.00 90.00
Positions (direct):
Be  0.000  0.000  0.141
Be  0.000  0.000  0.859
Pt  0.500  0.500  0.000
Br  0.500  0.500  0.500


Material: BePtBr2
Method: DFT, PBE-GGA
State: optimized geometry

**Total DFT energy (no corrections)**: -12.55 eV/cell
**Fermi-level density of states**: 0.84 states/eV/atom
**Excess energy over the best structure of this formula in the dataset**: 421 meV per atom

a b c (Å): 8.016 8.016 8.016
angles (deg): 24.43 24.43 24.43
Positions (direct):
Be  0.000  0.000  0.000
Pt  0.500  0.500  0.500
Br  0.393  0.393  0.393
Br  0.607  0.607  0.607


Material: BePtBr2
Method: DFT, PBE-GGA
State: optimized geometry

**Total DFT energy (no corrections)**: -13.63 eV/cell
**Excess energy over the best structure of this formula in the dataset**: 150 meV per atom

a b c (Å): 7.518 7.518 4.050
angles (deg): 95.92 95.92 24.95
Positions (direct):
Be  0.000  0.000  0.000
Pt  0.500  0.500  0.500
Br  0.369  0.369  0.822
Br  0.631  0.631  0.178


Material: BePt2Br
Method: DFT, PBE-GGA
State: optimized geometry

**Total DFT energy (no corrections)**: -16.79 eV/cell
**Fermi-level density of states**: 0.74 states/eV/atom
**Excess energy over the best structure of this formula in the dataset**: 305 meV per atom

a b c (Å): 5.468 5.468 5.468
angles (deg): 148.00 132.46 58.46
Positions (direct):
Be  0.000  0.000  0.000
Pt  0.188  0.688  0.500
Pt  0.812  0.312  0.500
Br  0.500  0.500  0.000